Below is TbGa3N after structural relaxation, with properties calculated at the GGA-PBE level.

Cell lengths 4.4493, 4.4493, 4.4493 Å; angles 90.00, 90.00, 90.00 degrees
Space group Pm-3m (No. 221)
Asymmetric unit:
1 Tb 0.0000 0.0000 0.0000 (multiplicity 1)
2 Ga 0.0000 0.5000 0.5000 (multiplicity 3)
3 N 0.5000 0.5000 0.5000 (multiplicity 1)

Output
total energy: -4.19 eV/atom